! BeTl2Cu PBE-GGA optimized geometry; values from VASP
! SG: I-42d (122)
! Energy relative to the elements, eV/atom: 0.647
! Size of the total moment, μB per cell: 0.00
! Energy above the lowest structure with this stoichiometry, meV per atom: 352.9
! DOS(E_F), states/eV per cell: 3.12
! Energy, eV/cell: -19.930
&SYSTEM
  ibrav = 0, nat = 8, ntyp = 3
/
ATOMIC_SPECIES
Tl 204.38 Tl.upf
Be 9.01 Be.upf
Cu 63.55 Cu.upf
CELL_PARAMETERS angstrom
-3.583 -1.864 -5.933
5.844 -3.352 -2.477
0.150 -5.404 -2.735
ATOMIC_POSITIONS crystal
Tl 0.875 0.859 0.750
Tl 0.609 0.125 0.250
Be 0.250 0.750 0.500
Be 0.500 0.500 0.000
Tl 0.375 0.391 0.750
Cu 0.000 0.000 0.000
Tl 0.141 0.625 0.250
Cu 0.750 0.250 0.500